VASP calculation (GGA-PBE) on an optimized crystal structure of TbHoAu2.

a = 3.712 Å, b = 4.698 Å, c = 5.811 Å
α = 90.00°, β = 108.58°, γ = 90.00°
Positions (direct):
Tb: 0.721 0.000 0.983
Ho: 0.445 0.500 0.427
Au: 0.171 0.500 0.881
Au: 0.994 0.000 0.527

Output
energy relative to the elements: -883.0 meV per atom
distance to the lowest polymorph of the same formula: 0.00 kcal/mol of atoms
energy: -4.8237 eV/atom